No. 1
A plane-wave DFT calculation with GGA-PBE was carried out for an optimized crystal structure of Nd5GaHg4.

Output
**Energy**: -3.29 eV/atom
**Formation energy from the elements**: -485 meV per atom

a b c (Å): 3.7986 3.7986 19.1873
angles (deg): 90.00 90.00 90.00
With the nearest neighbours (Å) after each atom.
Positions (direct):
1 Nd 0.0000 0.0000 0.0000  8 Hg 3.32
2 Nd 0.0000 0.0000 0.2036  8 Hg 3.32-3.33
3 Nd 0.0000 0.0000 0.4079  4 Ga 3.22, 4 Hg 3.32, 1 Nd 3.54
4 Nd 0.0000 0.0000 0.5921  4 Ga 3.22, 4 Hg 3.32, 1 Nd 3.54
5 Nd 0.0000 0.0000 0.7964  8 Hg 3.32-3.33
6 Ga 0.5000 0.5000 0.5000  8 Nd 3.22
7 Hg 0.5000 0.5000 0.1016  8 Nd 3.32
8 Hg 0.5000 0.5000 0.3059  8 Nd 3.32-3.33
9 Hg 0.5000 0.5000 0.6941  8 Nd 3.32-3.33
10 Hg 0.5000 0.5000 0.8984  8 Nd 3.32



No. 2
A plane-wave DFT calculation with GGA-PBE was carried out for an optimized crystal structure of Sc2MnNiPd.

Output
**Energy**: -6.29 eV/atom
**Formation energy from the elements**: 272 meV per atom

a b c (Å): 4.7598 4.7598 4.1415
angles (deg): 90.00 90.00 90.00
With the nearest neighbours (Å) after each atom.
Positions (direct):
1 Sc 0.0000 0.5000 0.0000  2 Mn 2.38
2 Sc 0.5000 0.0000 0.0000  2 Mn 2.38
3 Mn 0.0000 0.0000 0.0000  2 Ni 2.07
4 Ni 0.0000 0.0000 0.5000  2 Mn 2.07
5 Pd 0.5000 0.5000 0.5000  8 Sc 3.15, 4 Ni 3.37



No. 3
A plane-wave DFT calculation with GGA-PBE was carried out for an optimized crystal structure of Na2Li2Tl7.

Output
**Relative energy among the computed polymorphs**: 0.000 eV/atom
**Energy**: -2.19 eV/atom
**Formation energy from the elements**: -97 meV per atom

a b c (Å): 8.6215 8.6215 8.6215
angles (deg): 146.17 71.36 119.26
With the nearest neighbours (Å) after each atom.
Positions (direct):
1 Na 0.0000 0.0000 0.0000  9 Tl 3.27-3.54
2 Na 0.6379 0.1379 0.5000  8 Tl 3.24-3.60
3 Li 0.1246 0.3640 0.7606  3 Tl 2.90-2.91
4 Li 0.6034 0.3640 0.2394  3 Tl 2.90-2.91
5 Tl 0.0738 0.6944 0.3793  7 Tl 3.34-3.44, 3 Li 3.35-3.48, 2 Na 3.47
6 Tl 0.2838 0.0320 0.2518  3 Li 2.90-2.91
7 Tl 0.3151 0.6944 0.6207  7 Tl 3.34-3.44, 3 Li 3.35-3.48, 2 Na 3.47
8 Tl 0.3801 0.3801 0.0000  3 Na 3.31-3.37, 2 Li 3.36, 6 Tl 3.43
9 Tl 0.5606 0.7018 0.8588  3 Na 3.24-3.27, 3 Li 3.25-3.33, 5 Tl 3.27-3.43
10 Tl 0.7803 0.0320 0.7482  3 Li 2.90-2.91
11 Tl 0.8430 0.7018 0.1412  3 Na 3.24-3.27, 3 Li 3.25-3.33, 5 Tl 3.27-3.43



> Among the records above, which one has the highest energy?

Na2Li2Tl7



Copy entry 1 word for word.
A plane-wave DFT calculation with GGA-PBE was carried out for an optimized crystal structure of Nd5GaHg4.

Output
**Energy**: -3.29 eV/atom
**Formation energy from the elements**: -485 meV per atom

a b c (Å): 3.7986 3.7986 19.1873
angles (deg): 90.00 90.00 90.00
With the nearest neighbours (Å) after each atom.
Positions (direct):
1 Nd 0.0000 0.0000 0.0000  8 Hg 3.32
2 Nd 0.0000 0.0000 0.2036  8 Hg 3.32-3.33
3 Nd 0.0000 0.0000 0.4079  4 Ga 3.22, 4 Hg 3.32, 1 Nd 3.54
4 Nd 0.0000 0.0000 0.5921  4 Ga 3.22, 4 Hg 3.32, 1 Nd 3.54
5 Nd 0.0000 0.0000 0.7964  8 Hg 3.32-3.33
6 Ga 0.5000 0.5000 0.5000  8 Nd 3.22
7 Hg 0.5000 0.5000 0.1016  8 Nd 3.32
8 Hg 0.5000 0.5000 0.3059  8 Nd 3.32-3.33
9 Hg 0.5000 0.5000 0.6941  8 Nd 3.32-3.33
10 Hg 0.5000 0.5000 0.8984  8 Nd 3.32